Entry from Alexandria: a relaxed structure of Pm2CS (PBE).

a b c (Å): 3.812 5.558 8.003
angles (deg): 90.00 90.00 90.00
Fractional coordinates of all 8 atoms:
Pm (0.000, 0.000, 0.839)
Pm (0.500, 0.500, 0.161)
Pm (0.500, 0.500, 0.601)
Pm (0.000, 0.000, 0.399)
C (0.500, 0.000, 0.624)
C (0.000, 0.500, 0.376)
S (0.500, 0.000, 0.122)
S (0.000, 0.500, 0.878)

Values from the calculation:
As for the energy above the most stable polymorph in this dataset: 0.12 eV/f.u. Its space group is Pmmn (59).

Entry from Alexandria: a relaxed structure of Pm6C3S2 (PBE).

a b c (Å): 6.599 6.600 6.966
angles (deg): 80.82 71.40 60.01
Fractional coordinates of all 11 atoms:
Pm (0.256, 0.000, 0.208)
Pm (0.744, 0.000, 0.792)
Pm (0.064, 0.340, 0.787)
Pm (0.595, 0.340, 0.213)
Pm (0.936, 0.660, 0.213)
Pm (0.405, 0.660, 0.787)
C (0.000, 0.000, 0.000)
C (0.671, 0.658, 0.000)
C (0.329, 0.342, 0.000)
S (0.835, 0.331, 0.500)
S (0.165, 0.669, 0.500)

Values from the calculation:
The value obtained for the uncorrected energy is -6.74 eV/atom. Its space group is C2/m (12).

Entry from Alexandria: a relaxed structure of Pm4CS2 (PBE).

a b c (Å): 3.890 6.914 6.914
angles (deg): 108.12 90.00 90.00
Fractional coordinates of all 7 atoms:
S (0.500, 0.000, 0.500)
S (0.500, 0.500, 0.000)
Pm (0.500, 0.786, 0.786)
Pm (0.000, 0.231, 0.769)
Pm (0.000, 0.769, 0.231)
Pm (0.500, 0.214, 0.214)
C (0.000, 0.000, 0.000)

Values from the calculation:
The value obtained for the uncorrected energy is -6.47 eV/atom. Its space group is Cmmm (65).

Entry from Alexandria: a relaxed structure of Pm2CS (PBE).

a b c (Å): 3.805 3.805 7.120
angles (deg): 74.50 74.50 60.00
Fractional coordinates of all 4 atoms:
C (0.667, 0.667, 0.998)
Pm (0.263, 0.263, 0.210)
Pm (0.070, 0.070, 0.789)
S (0.499, 0.499, 0.503)

Values from the calculation:
As for the energy above the most stable polymorph in this dataset: 0.28 eV/f.u. Its space group is R3m (160).

Entry from Alexandria: a relaxed structure of Pm4CSeS2 (PBE).

a b c (Å): 3.968 7.091 6.921
angles (deg): 108.94 90.00 90.00
Fractional coordinates of all 8 atoms:
S (0.000, 0.500, 0.500)
S (0.500, 0.000, 0.500)
Se (0.500, 0.500, 0.000)
Pm (0.500, 0.782, 0.775)
Pm (0.500, 0.218, 0.225)
Pm (0.000, 0.779, 0.239)
Pm (0.000, 0.221, 0.761)
C (0.000, 0.000, 0.000)

Values from the calculation:
The value obtained for the uncorrected energy is -6.55 eV/atom. Its space group is P2/m (10).

Entry from Alexandria: a relaxed structure of Pm6C2Se3S (PBE).

a b c (Å): 3.949 8.237 9.087
angles (deg): 104.84 102.55 90.00
Fractional coordinates of all 12 atoms:
Pm (0.669, 0.122, 0.339)
Pm (0.019, 0.254, 0.037)
Pm (0.677, 0.560, 0.354)
Pm (0.331, 0.878, 0.661)
Pm (0.981, 0.746, 0.963)
Pm (0.323, 0.440, 0.646)
C (0.168, 0.333, 0.335)
C (0.832, 0.667, 0.665)
Se (0.838, 0.167, 0.677)
Se (0.500, 0.500, 0.000)
Se (0.162, 0.833, 0.323)
S (0.500, 0.000, 0.000)

Values from the calculation:
The value obtained for the uncorrected energy is -6.51 eV/atom. Its space group is C2/m (12).

Computed mass density (Mg/m³) in order:
6.5 6.5 6.2 6.5 6.6 6.9